{
  "formula": "LaTb2PrTm",
  "functional": "PBE",
  "state": "relaxed",
  "total_magnetization_mub_per_fu": 0.001,
  "formation_enthalpy_0k_ev_per_atom": 0.363,
  "spacegroup": "Cmcm, No. 63",
  "lattice_angstrom": [[7.224, 0.000, 0.000], [0.000, 8.492, 0.000], [0.000, -4.246, 5.814]],
  "species": ["La", "La", "Tb", "Tb", "Tb", "Tb", "Pr", "Pr", "Tm", "Tm"],
  "frac_coords": [[0.250, 0.736, 0.471], [0.750, 0.264, 0.529], [0.500, 0.314, 0.000], [0.000, 0.686, 0.000], [0.500, 0.686, 0.000], [0.000, 0.314, 0.000], [0.250, 0.999, 0.998], [0.750, 0.001, 0.002], [0.750, 0.718, 0.436], [0.250, 0.282, 0.564]]
}

{
  "formula": "La2Tb6Pr3Tm",
  "functional": "PBE",
  "state": "relaxed",
  "total_magnetization_mub_per_fu": 0.000,
  "formation_enthalpy_0k_ev_per_atom": 0.015,
  "spacegroup": "C2/m, No. 12",
  "lattice_angstrom": [[-5.373, 2.077, -2.521], [0.351, -1.111, 6.178], [5.120, 10.792, 0.586]],
  "species": ["La", "La", "Tb", "Tb", "Tb", "Tb", "Tb", "Tb", "Pr", "Pr", "Pr", "Tm"],
  "frac_coords": [[0.334, 0.666, 0.000], [0.666, 0.334, 0.000], [0.917, 0.585, 0.751], [0.751, 0.751, 0.250], [0.083, 0.415, 0.249], [0.585, 0.917, 0.751], [0.249, 0.249, 0.750], [0.415, 0.083, 0.249], [0.167, 0.833, 0.500], [0.833, 0.167, 0.500], [0.500, 0.500, 0.500], [0.000, 0.000, 0.000]]
}

{
  "formula": "La2TbPr2Tm",
  "functional": "PBE",
  "state": "relaxed",
  "total_magnetization_mub_per_fu": 0.000,
  "formation_enthalpy_0k_ev_per_atom": 0.054,
  "spacegroup": "Pmc2_1, No. 26",
  "lattice_angstrom": [[5.775, 0.000, 0.000], [0.000, 7.145, 0.000], [0.000, 0.000, 10.038]],
  "species": ["La", "La", "La", "La", "Tb", "Tb", "Pr", "Pr", "Pr", "Pr", "Tm", "Tm"],
  "frac_coords": [[0.500, 0.008, 0.001], [0.000, 0.258, 0.176], [0.500, 0.508, 0.999], [0.000, 0.758, 0.824], [0.000, 0.008, 0.500], [0.000, 0.508, 0.500], [0.000, 0.257, 0.835], [0.500, 0.258, 0.332], [0.000, 0.757, 0.165], [0.500, 0.758, 0.668], [0.500, 0.257, 0.658], [0.500, 0.757, 0.342]]
}

{
  "formula": "La2TbPr6Tm3",
  "functional": "PBE",
  "state": "relaxed",
  "total_magnetization_mub_per_fu": 0.000,
  "formation_enthalpy_0k_ev_per_atom": 0.021,
  "spacegroup": "C2/m, No. 12",
  "lattice_angstrom": [[-4.018, 4.016, -2.825], [3.016, -4.407, -3.425], [-8.560, -7.431, 3.979]],
  "species": ["La", "La", "Tb", "Pr", "Pr", "Pr", "Pr", "Pr", "Pr", "Tm", "Tm", "Tm"],
  "frac_coords": [[0.333, 0.667, 0.000], [0.667, 0.333, 0.000], [0.000, 0.000, 0.000], [0.915, 0.582, 0.744], [0.753, 0.753, 0.256], [0.085, 0.418, 0.256], [0.582, 0.915, 0.744], [0.247, 0.247, 0.744], [0.418, 0.085, 0.256], [0.167, 0.833, 0.500], [0.833, 0.167, 0.500], [0.500, 0.500, 0.500]]
}

{
  "formula": "La4Tb2Pr2Tm",
  "functional": "PBE",
  "state": "relaxed",
  "total_magnetization_mub_per_fu": 0.000,
  "formation_enthalpy_0k_ev_per_atom": 0.022,
  "spacegroup": "C2/m, No. 12",
  "lattice_angstrom": [[5.189, 0.000, 0.000], [-2.594, 7.802, 0.011], [0.000, -2.652, 7.753]],
  "species": ["La", "La", "La", "La", "Tb", "Tb", "Pr", "Pr", "Tm"],
  "frac_coords": [[0.777, 0.555, 0.667], [0.223, 0.445, 0.333], [0.554, 0.108, 0.333], [0.446, 0.892, 0.667], [0.889, 0.778, 0.330], [0.111, 0.222, 0.670], [0.334, 0.669, 0.000], [0.666, 0.331, 0.000], [0.000, 0.000, 0.000]]
}

{
  "formula": "La2TbPr4Tm2",
  "functional": "PBE",
  "state": "relaxed",
  "total_magnetization_mub_per_fu": 0.002,
  "formation_enthalpy_0k_ev_per_atom": 0.028,
  "spacegroup": "C2/m, No. 12",
  "lattice_angstrom": [[5.197, 0.000, 0.000], [-2.598, 7.797, 0.059], [0.000, -2.671, 7.677]],
  "species": ["La", "La", "Tb", "Pr", "Pr", "Pr", "Pr", "Tm", "Tm"],
  "frac_coords": [[0.889, 0.777, 0.328], [0.111, 0.223, 0.672], [0.000, 0.000, 0.000], [0.780, 0.559, 0.672], [0.220, 0.441, 0.328], [0.555, 0.111, 0.330], [0.445, 0.889, 0.670], [0.333, 0.666, 0.000], [0.667, 0.334, 0.000]]
}

{
  "formula": "LaTb2PrTm2",
  "functional": "PBE",
  "state": "relaxed",
  "total_magnetization_mub_per_fu": 0.000,
  "formation_enthalpy_0k_ev_per_atom": 0.180,
  "spacegroup": "Pnnm, No. 58",
  "lattice_angstrom": [[3.583, 0.000, 0.000], [0.000, 16.075, 0.000], [0.000, 0.000, 7.018]],
  "species": ["La", "La", "Tb", "Tb", "Tb", "Tb", "Pr", "Pr", "Tm", "Tm", "Tm", "Tm"],
  "frac_coords": [[0.000, 0.000, 0.000], [0.500, 0.500, 0.500], [0.500, 0.840, 0.250], [0.500, 0.160, 0.750], [0.000, 0.660, 0.750], [0.000, 0.340, 0.250], [0.500, 0.500, 0.000], [0.000, 0.000, 0.500], [0.500, 0.157, 0.250], [0.000, 0.657, 0.250], [0.500, 0.843, 0.750], [0.000, 0.343, 0.750]]
}

{
  "formula": "La2TbPr2Tm2",
  "functional": "PBE",
  "state": "relaxed",
  "total_magnetization_mub_per_fu": 0.000,
  "formation_enthalpy_0k_ev_per_atom": 0.028,
  "spacegroup": "C2/m, No. 12",
  "lattice_angstrom": [[-4.363, -2.004, 1.892], [1.330, -1.819, -5.899], [4.292, -5.690, 3.874]],
  "species": ["La", "La", "Tb", "Pr", "Pr", "Tm", "Tm"],
  "frac_coords": [[0.144, 0.288, 0.428], [0.856, 0.712, 0.572], [0.000, 0.000, 0.000], [0.571, 0.142, 0.722], [0.429, 0.858, 0.278], [0.716, 0.432, 0.138], [0.284, 0.568, 0.862]]
}

{
  "formula": "La6TbPrTm2",
  "functional": "PBE",
  "state": "relaxed",
  "total_magnetization_mub_per_fu": 0.000,
  "formation_enthalpy_0k_ev_per_atom": 0.101,
  "spacegroup": "C2/c, No. 15",
  "lattice_angstrom": [[9.400, -2.151, -2.232], [0.765, 8.747, -2.027], [0.765, -2.350, 8.666]],
  "species": ["La", "La", "La", "La", "La", "La", "La", "La", "La", "La", "La", "La", "Tb", "Tb", "Pr", "Pr", "Tm", "Tm", "Tm", "Tm"],
  "frac_coords": [[0.054, 0.104, 0.759], [0.446, 0.241, 0.896], [0.946, 0.896, 0.241], [0.554, 0.759, 0.104], [0.312, 0.990, 0.437], [0.188, 0.563, 0.010], [0.688, 0.010, 0.563], [0.812, 0.437, 0.990], [0.122, 0.704, 0.491], [0.378, 0.509, 0.296], [0.878, 0.296, 0.509], [0.622, 0.491, 0.704], [0.250, 0.972, 0.028], [0.750, 0.028, 0.972], [0.250, 0.407, 0.593], [0.750, 0.593, 0.407], [0.453, 0.806, 0.713], [0.047, 0.287, 0.194], [0.547, 0.194, 0.287], [0.953, 0.713, 0.806]]
}

{
  "formula": "LaTb3PrTm",
  "functional": "PBE",
  "state": "relaxed",
  "total_magnetization_mub_per_fu": 0.000,
  "formation_enthalpy_0k_ev_per_atom": 0.108,
  "spacegroup": "Cmcm, No. 63",
  "lattice_angstrom": [[5.940, 0.000, 0.000], [-2.970, 5.696, 0.000], [0.000, 0.000, 11.855]],
  "species": ["La", "La", "Tb", "Tb", "Tb", "Tb", "Tb", "Tb", "Pr", "Pr", "Tm", "Tm"],
  "frac_coords": [[0.491, 0.982, 0.750], [0.509, 0.018, 0.250], [0.675, 0.351, 0.506], [0.325, 0.649, 0.494], [0.325, 0.649, 0.006], [0.675, 0.351, 0.994], [0.175, 0.350, 0.750], [0.825, 0.650, 0.250], [0.000, 0.000, 0.500], [0.000, 0.000, 0.000], [0.831, 0.663, 0.750], [0.169, 0.337, 0.250]]
}

{
  "formula": "LaTb6Pr3Tm2",
  "functional": "PBE",
  "state": "relaxed",
  "total_magnetization_mub_per_fu": 0.000,
  "formation_enthalpy_0k_ev_per_atom": 0.021,
  "spacegroup": "C2/m, No. 12",
  "lattice_angstrom": [[-5.095, -3.565, -0.553], [4.152, 0.252, -4.655], [6.145, -7.964, 6.442]],
  "species": ["La", "Tb", "Tb", "Tb", "Tb", "Tb", "Tb", "Pr", "Pr", "Pr", "Tm", "Tm"],
  "frac_coords": [[0.000, 0.000, 0.000], [0.917, 0.582, 0.753], [0.748, 0.748, 0.247], [0.083, 0.418, 0.247], [0.582, 0.917, 0.753], [0.252, 0.252, 0.753], [0.418, 0.083, 0.247], [0.167, 0.833, 0.500], [0.833, 0.167, 0.500], [0.500, 0.500, 0.500], [0.333, 0.667, 0.000], [0.667, 0.333, 0.000]]
}